The following is a DFT calculation (PBEsol) of Ta4AlSb after structural relaxation.

Structure (POSCAR):
```
Ta4AlSb
1.0
-0.6009 -4.7499 2.6279
1.5459 -4.6595 -2.3932
4.3911 -2.6834 1.8291
Ta Al Sb
4 1 1
direct
0.3759 0.3759 0.8723 Ta
0.3759 0.8723 0.3759 Ta
0.8723 0.3759 0.3759 Ta
0.3759 0.3759 0.3759 Ta
0.7500 0.7500 0.7500 Al
0.0000 0.0000 0.0000 Sb
```

Output
Volume in Å³ per atom: 19.20
Calculated total energy in eV per atom: -9.440
DOS(E_F) in states/eV/atom: 0.65
Formation energy without anion corrections in eV/atom: 0.369
Space group: F-43m, No. 216

The following is a DFT calculation (PBEsol) of K3LaH after structural relaxation.

Structure (POSCAR):
```
K3LaH
1.0
5.8687 0.0000 0.0000
0.0000 5.8687 0.0000
0.0000 0.0000 5.8687
K H La
3 1 1
direct
0.5000 0.0000 0.0000 K
0.0000 0.0000 0.5000 K
0.0000 0.5000 0.0000 K
0.0000 0.0000 0.0000 H
0.5000 0.5000 0.5000 La
```

Output
Volume in Å³ per atom: 40.43
Calculated total energy in eV per atom: -1.926
DOS(E_F) in states/eV/atom: 1.49
Space group: Pm-3m, No. 221

The following is a DFT calculation (PBEsol) of Mg2SbBr after structural relaxation.

Structure (POSCAR):
```
Mg2SbBr
1.0
-1.5521 -2.2601 3.1546
3.9491 -0.9972 1.2146
0.1260 4.5112 3.2941
Mg Br Sb
2 1 1
direct
0.0868 0.8790 0.0000 Mg
0.6937 0.3689 0.5000 Mg
0.1342 0.8731 0.5000 Br
0.5852 0.3791 0.0000 Sb
```

Output
Volume in Å³ per atom: 24.81
Energy above the most stable polymorph in this dataset in meV/atom: 0.0
Calculated total energy in eV per atom: -3.108
DOS(E_F) in states/eV/atom: 0.21
Formation energy without anion corrections in eV/atom: -0.642
Space group: Pm, No. 6

The following is a DFT calculation (PBEsol) of TaZn2W after structural relaxation.

Structure (POSCAR):
```
TaZn2W
1.0
-3.4873 0.0315 1.5136
-1.4564 -1.1076 -3.3325
2.9258 -3.4555 2.0383
Ta W Zn
1 1 2
direct
0.5000 0.5000 0.0000 Ta
0.2500 0.7500 0.5000 W
0.0000 0.0000 0.0000 Zn
0.7500 0.2500 0.5000 Zn
```

Output
Volume in Å³ per atom: 15.09
Energy above the most stable polymorph in this dataset in meV/atom: 0.0
Calculated total energy in eV per atom: -7.168
Energy of formation from the pure elements in eV per atom: 0.212
DOS(E_F) in states/eV/atom: 0.43
Space group: I-4m2, No. 119

The following is a DFT calculation (PBEsol) of BaTaRe2 after structural relaxation.

Structure (POSCAR):
```
BaTaRe2
1.0
3.1357 0.0000 0.0000
-1.5678 4.8451 0.0098
0.0000 -1.3521 6.0429
Ba Re Ta
1 2 1
direct
0.7410 0.4819 0.2419 Ba
0.2569 0.5137 0.7632 Re
0.9629 0.9259 0.8844 Re
0.5392 0.0785 0.6105 Ta
```

Output
Volume in Å³ per atom: 22.96
Calculated total energy in eV per atom: -9.521
Energy of formation from the pure elements in eV per atom: 0.820
DOS(E_F) in states/eV/atom: 1.02
Space group: Cm, No. 8

The following is a DFT calculation (PBEsol) of LaTl2Ag after structural relaxation.

Structure (POSCAR):
```
LaTl2Ag
1.0
-4.5695 0.7325 -0.5574
-0.2344 -3.6550 -2.8821
-0.8982 -2.8229 3.6531
Ag La Tl
1 1 2
direct
0.5000 0.0000 0.5000 Ag
0.0000 0.5000 0.5000 La
0.0000 0.0000 0.0000 Tl
0.5000 0.5000 0.0000 Tl
```

Output
Volume in Å³ per atom: 25.54
Calculated total energy in eV per atom: -3.726
Energy of formation from the pure elements in eV per atom: -0.246
DOS(E_F) in states/eV/atom: 0.83
Space group: P4/mmm, No. 123